1.
The following is a DFT calculation (PBE) of a relaxed structure of Dy8Te3PS3.

The structure belongs to space group R-3m (No. 166, hexagonal axes); the cell edges are 8.0771, 8.0771 and 20.7604 Å and the angles 90.00°, 90.00° and 120.00°. The asymmetric unit holds Dy at (0.0000, 0.0000, 0.2335), Dy at (0.0000, 0.5000, 0.2369), Te at (0.0000, 0.5000, 0.0000), P at (0.0000, 0.0000, 0.5000) and S at (0.0000, 0.5000, 0.5000).

Its uncorrected formation energy is -1534 meV per atom. As for the volume: 1173.0 Å³ per cell. For the theoretical density, the calculation gives 7.687 Mg/m³. The calculation puts the density of states at the Fermi level at 21.4 states/eV per cell.

---

2.
The following is a DFT calculation (PBE) of a relaxed structure of Cd2SiSe.

The structure belongs to space group Cmmm (No. 65); the cell edges are 4.033, 5.647 and 7.827 Å and the angles 90.00°, 90.00° and 90.00°. The asymmetric unit holds Cd at (0.000, 0.000, 0.248), Si at (0.000, 0.500, 0.000) and Se at (0.000, 0.500, 0.500).

Its uncorrected formation energy is 248 meV per atom. As for the volume: 178.3 Å³ per cell. For the theoretical density, the calculation gives 6.183 Mg/m³. The calculation puts the density of states at the Fermi level at 3.5 states/eV per cell. The calculation puts the offset from the most stable computed form at 170 meV/atom.

---

3.
The following is a DFT calculation (PBE) of a relaxed structure of CsLi2Np2S6.

The structure belongs to space group P-1 (No. 2); the cell edges are 6.898, 7.105 and 7.140 Å and the angles 60.39°, 80.79° and 89.25°. The asymmetric unit holds Cs at (0.000, 0.000, 0.000), Li at (0.491, 0.719, 0.601), Np at (0.005, 0.335, 0.329), S at (0.238, 0.569, 0.950), S at (0.239, 0.474, 0.503) and S at (0.245, 0.017, 0.415).

Its uncorrected formation energy is -1210 meV per atom. As for the volume: 299.4 Å³ per cell. For the theoretical density, the calculation gives 4.510 Mg/m³. The calculation puts the density of states at the Fermi level at 11.3 states/eV per cell.

---

4.
The following is a DFT calculation (PBE) of a relaxed structure of LiAcYRu.

The structure belongs to space group F-43m (No. 216); the cell edges are 7.266, 7.266 and 7.266 Å and the angles 90.00°, 90.00° and 90.00°. The asymmetric unit holds Li at (0.000, 0.000, 0.000), Ac at (0.250, 0.250, 0.250), Y at (0.250, 0.250, 0.750) and Ru at (0.000, 0.000, 0.500).

As for the volume: 383.6 Å³ per cell. For the theoretical density, the calculation gives 7.341 Mg/m³. The calculation puts the density of states at the Fermi level at 11.2 states/eV per cell. For the formation energy, the calculation gives -112 meV/atom.

---

5.
The following is a DFT calculation (PBE) of a relaxed structure of HgAs2IrCl.

The structure belongs to space group P4/mmm (No. 123); the cell edges are 4.746, 4.746 and 5.435 Å and the angles 90.00°, 90.00° and 90.00°. The asymmetric unit holds Hg at (0.000, 0.000, 0.000), As at (0.000, 0.500, 0.500), Ir at (0.000, 0.000, 0.500) and Cl at (0.500, 0.500, 0.000).

Its uncorrected formation energy is 173 meV per atom. As for the volume: 122.4 Å³ per cell. For the theoretical density, the calculation gives 7.842 Mg/m³. The calculation puts the density of states at the Fermi level at 3.7 states/eV per cell.

---

6.
The following is a DFT calculation (PBE) of a relaxed structure of In12As5Au3.

The structure belongs to space group Ia-3d (No. 230); the cell edges are 16.359, 16.359 and 16.359 Å and the angles 90.00°, 90.00° and 90.00°. The asymmetric unit holds In at (0.020, 0.081, 0.653), As at (0.000, 0.000, 0.000), As at (0.000, 0.250, 0.375) and Au at (0.000, 0.250, 0.125).

As for the volume: 4377.9 Å³ per cell. For the theoretical density, the calculation gives 7.111 Mg/m³. The calculation puts the density of states at the Fermi level at 61.8 states/eV per cell. For the formation energy, the calculation gives -73 meV/atom.

---

7.
The following is a DFT calculation (PBE) of a relaxed structure of ZnReRu2O.

The structure belongs to space group P4/mmm (No. 123); the cell edges are 4.119, 4.119 and 3.967 Å and the angles 90.00°, 90.00° and 90.00°. The asymmetric unit holds Zn at (0.000, 0.000, 0.000), Re at (0.500, 0.500, 0.000), Ru at (0.000, 0.500, 0.500) and O at (0.500, 0.500, 0.500).

Its uncorrected formation energy is 338 meV per atom. As for the volume: 67.3 Å³ per cell. For the theoretical density, the calculation gives 11.587 Mg/m³. The calculation puts the density of states at the Fermi level at 5.6 states/eV per cell.

---

8.
The following is a DFT calculation (PBE) of a relaxed structure of TaPbBr2.

The structure belongs to space group P4/mmm (No. 123); the cell edges are 4.702, 4.702 and 4.522 Å and the angles 90.00°, 90.00° and 90.00°. The asymmetric unit holds Ta at (0.000, 0.000, 0.000), Pb at (0.500, 0.500, 0.000) and Br at (0.000, 0.500, 0.500).

Its uncorrected formation energy is 721 meV per atom. As for the volume: 100.0 Å³ per cell. For the theoretical density, the calculation gives 9.101 Mg/m³. The calculation puts the density of states at the Fermi level at 4.5 states/eV per cell. The calculation puts the offset from the most stable computed form at 902 meV/atom.

---

9.
The following is a DFT calculation (PBE) of a relaxed structure of PmTh2NpAs4.

The structure belongs to space group P2/m (No. 10); the cell edges are 7.285, 4.230 and 7.321 Å and the angles 90.00°, 109.60° and 90.00°. The asymmetric unit holds Pm at (0.000, 0.000, 0.000), Th at (0.500, 0.000, 0.500), Th at (0.500, 0.500, 0.000), Np at (0.000, 0.500, 0.500), As at (0.244, 0.000, 0.744) and As at (0.247, 0.500, 0.252).

As for the volume: 212.5 Å³ per cell. For the theoretical density, the calculation gives 8.951 Mg/m³. The calculation puts the density of states at the Fermi level at 13.7 states/eV per cell. For the formation energy, the calculation gives -1258 meV/atom.

---

> The highest theoretical density belongs to which entry?

ZnReRu2O